No. 1
Compound: Nd2SnAs
Source: the Alexandria database
Functional: PBE
Structure: optimized geometry

The total magnetic moment comes out at 0.0 μB/f.u. The energy relative to the elements comes out at -1.0598 eV per atom. The calculation puts the total energy at -0.206 hartree per atom. The distance to the lowest polymorph of the same formula is 73.7 meV per atom.

a b c (Å): 4.208 4.208 8.188
angles (deg): 75.11 75.11 60.00
Fractional positions:
Nd  0.759  0.759  0.722
Nd  0.241  0.241  0.278
Sn  0.000  0.000  0.000
As  0.500  0.500  0.500


No. 2
Compound: Cs2Er2BiS6
Source: the Alexandria database
Functional: PBE
Structure: optimized geometry

The total magnetic moment comes out at 0.0 μB/f.u. The calculation puts the total energy at -0.183 hartree per atom. Its energy relative to the elements, uncorrected is -1378 meV per atom.

a b c (Å): 6.952 6.952 8.627
angles (deg): 97.67 97.67 120.14
Fractional positions:
S  0.603  0.941  0.321
S  0.277  0.277  0.321
S  0.059  0.397  0.679
S  0.941  0.603  0.321
S  0.397  0.059  0.679
S  0.723  0.723  0.679
Cs  0.834  0.166  0.000
Cs  0.166  0.834  0.000
Er  0.667  0.333  0.500
Er  0.333  0.667  0.500
Bi  0.000  0.000  0.500


No. 3
Compound: Os3BrCl
Source: the Alexandria database
Functional: PBE
Structure: optimized geometry

The total magnetic moment comes out at 4.5 μB/f.u. The calculation puts the total energy at -0.170 hartree per atom. Its energy relative to the elements, uncorrected is 2827 meV per atom. The distance to the lowest polymorph of the same formula is 314.6 meV per atom.

a b c (Å): 4.690 4.690 4.690
angles (deg): 90.00 90.00 90.00
Last column: magnetic moment on the atom in μB.
Fractional positions:
Br  0.000  0.000  0.000  -0.01
Os  0.000  0.000  0.500  1.28
Os  0.000  0.500  0.000  1.37
Os  0.500  0.000  0.000  1.30
Cl  0.500  0.500  0.500  0.28


No. 4
Compound: Li2CaMn
Source: the Alexandria database
Functional: PBE
Structure: optimized geometry

The total magnetic moment comes out at 4.0 μB/f.u. The energy relative to the elements comes out at 0.4146 eV per atom. The calculation puts the total energy at -0.123 hartree per atom. The distance to the lowest polymorph of the same formula is 117.0 meV per atom.

a b c (Å): 10.113 10.113 10.113
angles (deg): 18.92 18.92 18.92
Last column: magnetic moment on the atom in μB.
Fractional positions:
Li  0.245  0.245  0.245  -0.02
Li  0.992  0.992  0.992  0.02
Ca  0.756  0.756  0.756  -0.07
Mn  0.507  0.507  0.507  3.92


No. 5
Compound: TlInTe2
Source: the Alexandria database
Functional: PBE
Structure: optimized geometry

The total magnetic moment comes out at 0.0 μB/f.u. The calculation puts the total energy at -0.106 hartree per atom. Its energy relative to the elements, uncorrected is -36 meV per atom.

a b c (Å): 6.752 6.752 6.752
angles (deg): 140.33 140.33 57.35
Fractional positions:
Te  0.250  0.750  0.500
Te  0.000  0.000  0.000
Tl  0.500  0.500  0.000
In  0.750  0.250  0.500


No. 6
Compound: Ir3Cl2
Source: the Alexandria database
Functional: PBE
Structure: optimized geometry

The total magnetic moment comes out at 1.0 μB/f.u. The calculation puts the total energy at -0.192 hartree per atom. Its energy relative to the elements, uncorrected is 836 meV per atom. The distance to the lowest polymorph of the same formula is 146.8 meV per atom.

a b c (Å): 3.852 3.852 9.483
angles (deg): 90.00 90.00 120.00
Last column: magnetic moment on the atom in μB.
Fractional positions:
Cl  0.667  0.333  0.118  0.08
Cl  0.333  0.667  0.882  0.08
Ir  0.667  0.333  0.537  0.03
Ir  0.000  0.000  0.000  0.72
Ir  0.333  0.667  0.463  0.03


No. 7
Compound: AlZnIF2
Source: the Alexandria database
Functional: PBE
Structure: optimized geometry

The total magnetic moment comes out at 0.0 μB/f.u. The calculation puts the total energy at -0.127 hartree per atom. Its energy relative to the elements, uncorrected is -1383 meV per atom.

a b c (Å): 4.021 6.143 4.021
angles (deg): 90.00 90.00 90.00
Fractional positions:
I  0.000  0.500  0.000
F  0.500  0.000  0.000
F  0.000  0.000  0.500
Zn  0.500  0.500  0.500
Al  0.000  0.000  0.000


No. 8
Compound: SrYZr2Zn
Source: the Alexandria database
Functional: PBE
Structure: optimized geometry

The total magnetic moment comes out at 0.0 μB/f.u. The energy relative to the elements comes out at 1.2953 eV per atom. The calculation puts the total energy at -0.147 hartree per atom.

a b c (Å): 5.270 6.083 5.270
angles (deg): 90.00 90.00 90.00
Fractional positions:
Sr  0.000  0.500  0.000
Zr  0.500  0.000  0.000
Zr  0.000  0.000  0.500
Y  0.000  0.000  0.000
Zn  0.500  0.500  0.500


Look up the total magnetic moment of the first one.
0.0 μB/f.u.


Which value of total magnetic moment does entry 2 give?
0.0 μB/f.u.


total magnetic moment of number 7 (AlZnIF2)?
0.0 μB/f.u.


Copy entry 2 word for word.
Compound: Cs2Er2BiS6
Source: the Alexandria database
Functional: PBE
Structure: optimized geometry

The total magnetic moment comes out at 0.0 μB/f.u. The calculation puts the total energy at -0.183 hartree per atom. Its energy relative to the elements, uncorrected is -1378 meV per atom.

a b c (Å): 6.952 6.952 8.627
angles (deg): 97.67 97.67 120.14
Fractional positions:
S  0.603  0.941  0.321
S  0.277  0.277  0.321
S  0.059  0.397  0.679
S  0.941  0.603  0.321
S  0.397  0.059  0.679
S  0.723  0.723  0.679
Cs  0.834  0.166  0.000
Cs  0.166  0.834  0.000
Er  0.667  0.333  0.500
Er  0.333  0.667  0.500
Bi  0.000  0.000  0.500